A plane-wave DFT calculation with PBE was carried out for a relaxed structure of P2RuSO.

Cell and atoms, written as CIF:
```
data_P2RuSO
_chemical_formula_sum 'P2 Ru1 S1 O1'
_symmetry_space_group_name_H-M 'P 4/m m m'
_symmetry_Int_Tables_number 123
_symmetry_space_group_name_Hall '-P 4 2'
_cell_length_a 4.6861
_cell_length_b 4.6861
_cell_length_c 3.6976
_cell_angle_alpha 90.00
_cell_angle_beta 90.00
_cell_angle_gamma 90.00
loop_
_atom_site_label
_atom_site_type_symbol
_atom_site_fract_x
_atom_site_fract_y
_atom_site_fract_z
P1 P 0.0000 0.5000 0.0000
Ru1 Ru 0.0000 0.0000 0.0000
S1 S 0.5000 0.5000 0.5000
O1 O 0.0000 0.0000 0.5000
```

Size of the total moment, μB/f.u.: 0.0
E_form (uncorrected), eV per atom: 0.255
E above lowest polymorph, eV/f.u.: 0.00

***

A plane-wave DFT calculation with PBE was carried out for a relaxed structure of RbCaCuTe2.

Cell and atoms, written as CIF:
```
data_RbCaCuTe2
_chemical_formula_sum 'Rb1 Ca1 Cu1 Te2'
_symmetry_space_group_name_H-M 'P 4/m m m'
_symmetry_Int_Tables_number 123
_symmetry_space_group_name_Hall '-P 4 2'
_cell_length_a 6.2862
_cell_length_b 6.2862
_cell_length_c 5.0204
_cell_angle_alpha 90.00
_cell_angle_beta 90.00
_cell_angle_gamma 90.00
loop_
_atom_site_label
_atom_site_type_symbol
_atom_site_fract_x
_atom_site_fract_y
_atom_site_fract_z
Rb1 Rb 0.0000 0.0000 0.0000
Ca1 Ca 0.5000 0.5000 0.5000
Cu1 Cu 0.0000 0.0000 0.5000
Te1 Te 0.0000 0.5000 0.0000
```

Size of the total moment, μB/f.u.: 0.0
E_form (uncorrected), eV per atom: 0.434
E above lowest polymorph, eV/f.u.: 6.65

***

A plane-wave DFT calculation with PBE was carried out for a relaxed structure of LiPr4Sm3Te8.

Cell and atoms, written as CIF:
```
data_LiPr4Sm3Te8
_chemical_formula_sum 'Li3 Pr12 Sm9 Te24'
_symmetry_space_group_name_H-M 'R -3 m'
_symmetry_Int_Tables_number 166
_symmetry_space_group_name_Hall '-R 3 2"'
_cell_length_a 8.9311
_cell_length_b 8.9311
_cell_length_c 21.9766
_cell_angle_alpha 90.00
_cell_angle_beta 90.00
_cell_angle_gamma 120.00
loop_
_atom_site_label
_atom_site_type_symbol
_atom_site_fract_x
_atom_site_fract_y
_atom_site_fract_z
Li1 Li 0.0000 0.0000 0.0000
Pr1 Pr 0.0000 0.0000 0.5000
Pr2 Pr 0.0000 0.5000 0.5000
Sm1 Sm 0.0000 0.5000 0.0000
Te1 Te 0.0000 0.0000 0.2523
Te2 Te 0.0086 0.5043 0.7456
```

Size of the total moment, μB/f.u.: 0.0
E_form (uncorrected), eV per atom: -1.397